4
Lattice="2.947 0.000 0.000 0.000 2.960 0.000 0.000 0.000 6.076" Properties=species:S:1:pos:R:3 comment="BeFe2Hg, relaxed, DFT GGA-PBE" crystal_system=orthorhombic pbc="T T T"
Be 0.000 0.000 0.000
Fe 0.000 0.000 2.336
Fe 1.474 1.480 1.091
Hg 1.474 1.480 4.302


4
Lattice="-1.579 2.000 4.139 1.579 -2.000 4.139 1.579 2.000 -4.139" Properties=species:S:1:pos:R:3 comment="BeFe2Hg, relaxed, DFT GGA-PBE" crystal_system=orthorhombic pbc="T T T"
Be 0.000 0.000 0.000
Fe 1.579 0.000 1.927
Fe 0.000 2.000 2.211
Hg 0.000 0.000 4.139


Number 1: E_form 0.9 eV/f.u., N(E_F) 3.0 states/eV/cell, ρ 10.1 Mg/m³. Number 2: E_form 1.1 eV/f.u., N(E_F) 2.0 states/eV/cell, ρ 10.2 Mg/m³.